# 1
Sc5Co4Ag: optimized geometry, PBE.

Energy of formation in meV per atom: -357
Space group: No. 123

a = 3.115 Å, b = 3.115 Å, c = 16.616 Å
α = 90.00°, β = 90.00°, γ = 90.00°
Sites, in units of the cell vectors:
Sc 0.000 0.000 0.000
Sc 0.000 0.000 0.187
Sc 0.000 0.000 0.375
Sc 0.000 0.000 0.625
Sc 0.000 0.000 0.813
Co 0.500 0.500 0.094
Co 0.500 0.500 0.284
Co 0.500 0.500 0.716
Co 0.500 0.500 0.906
Ag 0.500 0.500 0.500


# 2
LiAgW: optimized geometry, PBE.

Uncorrected energy in eV/atom: -4.2876
Space group: No. 216

a = 4.297 Å, b = 4.297 Å, c = 4.297 Å
α = 60.00°, β = 60.00°, γ = 60.00°
Sites, in units of the cell vectors:
Li 0.000 0.000 0.000
Ag 0.500 0.500 0.500
W 0.750 0.750 0.750


# 3
NbFeNiB: optimized geometry, PBE.

Uncorrected energy in eV/atom: -7.4517
Space group: No. 216

a = 4.026 Å, b = 4.026 Å, c = 4.026 Å
α = 60.00°, β = 60.00°, γ = 60.00°
Sites, in units of the cell vectors:
Nb 0.000 0.000 0.000
Fe 0.750 0.750 0.750
Ni 0.250 0.250 0.250
B 0.500 0.500 0.500


# 4
PuCdOs: optimized geometry, PBE.

Energy of formation in meV per atom: 900
Space group: No. 216

a = 4.673 Å, b = 4.673 Å, c = 4.673 Å
α = 60.00°, β = 60.00°, γ = 60.00°
Sites, in units of the cell vectors:
Pu 0.000 0.000 0.000
Cd 0.750 0.750 0.750
Os 0.250 0.250 0.250


# 5
LaHoBi: optimized geometry, PBE.

Uncorrected energy in eV/atom: -4.8897
Space group: No. 216

a = 5.291 Å, b = 5.291 Å, c = 5.291 Å
α = 60.00°, β = 60.00°, γ = 60.00°
Sites, in units of the cell vectors:
La 0.000 0.000 0.000
Ho 0.500 0.500 0.500
Bi 0.750 0.750 0.750


# 6
TbMgAgTe3: optimized geometry, PBE.

Uncorrected energy in eV/atom: -3.8588
Space group: No. 63

a = 7.430 Å, b = 7.430 Å, c = 11.337 Å
α = 90.00°, β = 90.00°, γ = 147.49°
Sites, in units of the cell vectors:
Tb 0.000 0.000 0.000
Tb 0.000 0.000 0.500
Mg 0.221 0.779 0.750
Mg 0.779 0.221 0.250
Ag 0.480 0.520 0.250
Ag 0.520 0.480 0.750
Te 0.114 0.886 0.250
Te 0.349 0.651 0.068
Te 0.349 0.651 0.432
Te 0.651 0.349 0.568
Te 0.651 0.349 0.932
Te 0.886 0.114 0.750


# 7
BaTaSb: optimized geometry, PBE.

Uncorrected energy in eV/atom: -5.2208
Space group: No. 216

a = 5.191 Å, b = 5.191 Å, c = 5.191 Å
α = 60.00°, β = 60.00°, γ = 60.00°
Sites, in units of the cell vectors:
Ba 0.000 0.000 0.000
Ta 0.500 0.500 0.500
Sb 0.750 0.750 0.750


# 8
Tb5SbAu2: optimized geometry, PBE.

Uncorrected energy in eV/atom: -4.6383
Space group: No. 140

a = 10.004 Å, b = 10.004 Å, c = 10.004 Å
α = 136.38°, β = 136.38°, γ = 63.39°
Sites, in units of the cell vectors:
Tb 0.000 0.000 0.000
Tb 0.004 0.504 0.174
Tb 0.170 0.996 0.500
Tb 0.330 0.830 0.826
Tb 0.496 0.670 0.500
Tb 0.500 0.500 0.000
Tb 0.504 0.330 0.500
Tb 0.670 0.170 0.174
Tb 0.830 0.004 0.500
Tb 0.996 0.496 0.826
Sb 0.250 0.250 0.000
Sb 0.750 0.750 0.000
Au 0.127 0.627 0.753
Au 0.373 0.127 0.500
Au 0.627 0.873 0.500
Au 0.873 0.373 0.247


# 9
AuO: optimized geometry, PBE.

Uncorrected energy in eV/atom: -3.5209
Space group: No. 187

a = 3.095 Å, b = 3.095 Å, c = 3.162 Å
α = 90.00°, β = 90.00°, γ = 120.00°
Sites, in units of the cell vectors:
Au 0.000 0.000 0.000
O 0.667 0.333 0.500


# 10
BeCoHg: optimized geometry, PBE.

Uncorrected energy in eV/atom: -3.3216
Space group: No. 216

a = 3.888 Å, b = 3.888 Å, c = 3.888 Å
α = 60.00°, β = 60.00°, γ = 60.00°
Sites, in units of the cell vectors:
Be 0.000 0.000 0.000
Co 0.750 0.750 0.750
Hg 0.250 0.250 0.250


# 11
DyTm4As2: optimized geometry, PBE.

Uncorrected energy in eV/atom: -4.3969
Space group: No. 139

a = 7.037 Å, b = 7.037 Å, c = 7.037 Å
α = 104.31°, β = 104.31°, γ = 120.38°
Sites, in units of the cell vectors:
Dy 0.000 0.000 0.000
Tm 0.230 0.500 0.730
Tm 0.500 0.230 0.730
Tm 0.500 0.770 0.270
Tm 0.770 0.500 0.270
As 0.250 0.750 0.500
As 0.750 0.250 0.500


# 12
LaHoSi4Os2: optimized geometry, PBE.

Uncorrected energy in eV/atom: -7.4381
Space group: No. 6

a = 4.476 Å, b = 4.136 Å, c = 8.220 Å
α = 90.00°, β = 102.25°, γ = 90.00°
Sites, in units of the cell vectors:
La 0.000 0.000 0.000
Ho 0.818 0.500 0.595
Si 0.079 0.500 0.301
Si 0.374 0.000 0.710
Si 0.451 0.500 0.891
Si 0.747 0.000 0.310
Os 0.297 0.000 0.418
Os 0.531 0.500 0.190


no.,calculated density (Mg/m³)
1,5.9
2,8.8
3,7.9
4,12.6
5,8.1
6,6.7
7,7.4
8,9.3
9,13.5
10,10.7
11,6.3
12,8.9